# Sr3AlZn (PBE, optimized geometry)
data_Sr3AlZn
_chemical_formula_sum 'Sr3 Al1 Zn1'
_cell_length_a 5.9872
_cell_length_b 5.9872
_cell_length_c 5.9872
_cell_angle_alpha 90.00
_cell_angle_beta 90.00
_cell_angle_gamma 90.00
_symmetry_space_group_name_H-M 'P 1'
_symmetry_Int_Tables_number 1
_symmetry_space_group_name_Hall 'P 1'
loop_
_atom_site_label
_atom_site_type_symbol
_atom_site_fract_x
_atom_site_fract_y
_atom_site_fract_z
Zn1 Zn 0.0000 0.0000 0.0000
Sr1 Sr 0.5000 0.0000 0.0000
Al1 Al 0.5000 0.5000 0.5000
Sr2 Sr 0.0000 0.5000 0.0000
Sr3 Sr 0.0000 0.0000 0.5000
# volume	215	Å³ per cell
# N(E_F)	1.414	states/eV per atom
# electronic total energy	-1.769	eV per atom
# formation energy from the elements	243	meV/atom
# space group	No. 221